# 1
First-principles (PBE) data for K4In after structural relaxation, as listed in the Alexandria database.

Values from the calculation:
Total magnetic moment in μB/f.u.: 0.410
ΔE_f in kJ/mol of formula units: 21
E above lowest polymorph in kJ/mol of atoms: 0.0

a = 7.1524 Å, b = 7.1524 Å, c = 7.1524 Å
α = 100.78°, β = 100.78°, γ = 128.74°
Closest atoms and distances in Å follow each position.
Sites, in units of the cell vectors:
K 0.1170 0.7146 0.8316  8 K 3.98-4.42, 3 In 4.00-4.18
K 0.2854 0.1170 0.4023  8 K 3.98-4.42, 3 In 4.00-4.18
K 0.7146 0.8830 0.5977  8 K 3.98-4.42, 3 In 4.00-4.18
K 0.8830 0.2854 0.1684  8 K 3.98-4.42, 3 In 4.00-4.18
In 0.5000 0.5000 0.0000  12 K 4.00-4.18

=====

# 2
First-principles (PBE) data for TaAlMo2 after structural relaxation, as listed in the Alexandria database.

Values from the calculation:
Total magnetic moment in μB/f.u.: 0.000
ΔE_f in kJ/mol of formula units: -38

a = 2.7553 Å, b = 4.4694 Å, c = 5.3703 Å
α = 90.00°, β = 100.22°, γ = 90.00°
Closest atoms and distances in Å follow each position.
Sites, in units of the cell vectors:
Ta 0.0000 0.0000 0.0000  4 Mo 2.75, 2 Ta 2.76, 2 Al 2.79
Al 0.5000 0.0000 0.5000  2 Al 2.76, 4 Mo 2.76, 2 Ta 2.79
Mo 0.2379 0.5000 0.7468  4 Mo 2.74-2.84, 2 Ta 2.75, 2 Al 2.76
Mo 0.7621 0.5000 0.2532  4 Mo 2.74-2.84, 2 Ta 2.75, 2 Al 2.76

=====

# 3
First-principles (PBE) data for SmBi2Pd8 after structural relaxation, as listed in the Alexandria database.

Values from the calculation:
Total magnetic moment in μB/f.u.: 0.000
ΔE_f in kJ/mol of formula units: -344

a = 7.5986 Å, b = 7.5986 Å, c = 5.1120 Å
α = 107.39°, β = 107.39°, γ = 118.41°
Closest atoms and distances in Å follow each position.
Sites, in units of the cell vectors:
Sm 0.0000 0.0000 0.0000  8 Pd 2.85-3.06
Bi 0.3092 0.6908 0.5000  8 Pd 2.82-2.91
Bi 0.6908 0.3092 0.5000  8 Pd 2.82-2.91
Pd 0.0958 0.3251 0.6402  6 Pd 2.70-2.99, 2 Bi 2.88-2.91
Pd 0.2181 0.7819 0.0000  2 Bi 2.82, 1 Sm 2.85, 4 Pd 2.90-2.99
Pd 0.3251 0.0958 0.6402  6 Pd 2.70-2.99, 2 Bi 2.88-2.91
Pd 0.4335 0.4335 0.1929  6 Pd 2.67-2.81, 2 Bi 2.83, 1 Sm 2.91
Pd 0.5665 0.5665 0.8071  6 Pd 2.67-2.81, 2 Bi 2.83, 1 Sm 2.91
Pd 0.6749 0.9042 0.3598  6 Pd 2.70-2.99, 2 Bi 2.88-2.91
Pd 0.7819 0.2181 0.0000  2 Bi 2.82, 1 Sm 2.85, 4 Pd 2.90-2.99
Pd 0.9042 0.6749 0.3598  6 Pd 2.70-2.99, 2 Bi 2.88-2.91

=====

# 4
First-principles (PBE) data for CoPbBr2 after structural relaxation, as listed in the Alexandria database.

Values from the calculation:
Total magnetic moment in μB/f.u.: 1.805
Raw formation energy in eV/atom: 0.324
E above lowest polymorph in kJ/mol of atoms: 48.9

a = 3.7036 Å, b = 4.6063 Å, c = 6.1779 Å
α = 90.00°, β = 90.00°, γ = 90.00°
Closest atoms and distances in Å follow each position.
Sites, in units of the cell vectors:
Co 0.0000 0.0000 0.0000  4 Br 2.96
Pb 0.5000 0.0000 0.5000  4 Br 2.96
Br 0.0000 0.5000 0.5000  4 Pb 2.96
Br 0.5000 0.5000 0.0000  4 Co 2.96

=====

# 5
First-principles (PBE) data for Nd2Sm3UAs6 after structural relaxation, as listed in the Alexandria database.

Values from the calculation:
Total magnetic moment in μB/f.u.: 2.305
ΔE_f in kJ/mol of formula units: -1604

a = 9.3943 Å, b = 9.3943 Å, c = 8.4488 Å
α = 102.83°, β = 102.83°, γ = 25.84°
Closest atoms and distances in Å follow each position.
Sites, in units of the cell vectors:
Nd 0.1670 0.1670 0.3363  6 As 2.98-3.01
Nd 0.8330 0.8330 0.6637  6 As 2.98-3.01
Sm 0.1681 0.1681 0.8332  6 As 2.95-3.02
Sm 0.5000 0.5000 0.5000  6 As 2.96-3.03
Sm 0.8319 0.8319 0.1668  6 As 2.95-3.02
U 0.5000 0.5000 0.0000  6 As 2.90-2.93
As 0.0011 0.0011 0.7590  2 U 2.93, 3 Sm 2.98-3.03, 1 Nd 3.00
As 0.3342 0.3342 0.4135  3 Sm 2.95-2.96, 3 Nd 2.98
As 0.3376 0.3376 0.9209  1 U 2.90, 3 Sm 2.97-3.02, 2 Nd 3.01
As 0.6624 0.6624 0.0791  1 U 2.90, 3 Sm 2.97-3.02, 2 Nd 3.01
As 0.6658 0.6658 0.5865  3 Sm 2.95-2.96, 3 Nd 2.98
As 0.9989 0.9989 0.2410  2 U 2.93, 3 Sm 2.98-3.03, 1 Nd 3.00

=====

# 6
First-principles (PBE) data for GdPaTc after structural relaxation, as listed in the Alexandria database.

Values from the calculation:
Total magnetic moment in μB/f.u.: 6.552
ΔE_f in kJ/mol of formula units: 22
E above lowest polymorph in kJ/mol of atoms: 20.4

a = 4.7458 Å, b = 4.7458 Å, c = 3.3690 Å
α = 90.00°, β = 90.00°, γ = 120.00°
Closest atoms and distances in Å follow each position.
Sites, in units of the cell vectors:
Gd 0.0000 0.0000 0.0000  3 Tc 3.00, 3 Pa 3.04
Pa 0.6667 0.3333 0.3925  3 Tc 2.86, 3 Gd 3.04
Tc 0.3333 0.6667 0.6342  3 Pa 2.86, 3 Gd 3.00

=====

| no. | theoretical density (g/cm3) |
| --- | --- |
| 1 | 1.75 |
| 2 | 10.20 |
| 3 | 11.18 |
| 4 | 6.71 |
| 5 | 7.49 |
| 6 | 12.29 |